No. 1
Here is NbFe4Rh after structural relaxation from Alexandria. Energies are from PBE.

Unit cell a=4.7581 b=4.7581 c=4.7581 alpha=60.00 beta=60.00 gamma=60.00
Sites, in units of the cell vectors:
Nb: 0.0000 0.0000 0.0000
Fe: 0.3749 0.3749 0.3749
Fe: 0.3749 0.3749 0.8754
Fe: 0.3749 0.8754 0.3749
Fe: 0.8754 0.3749 0.3749
Rh: 0.7500 0.7500 0.7500

Values from the calculation:
DFT formation energy: -0.141 eV per atom
SG: No. 216

No. 2
Here is PuBiO4 after structural relaxation from Alexandria. Energies are from PBE.

Unit cell a=6.2553 b=5.2935 c=6.2529 alpha=90.00 beta=111.65 gamma=90.00
Sites, in units of the cell vectors:
Pu: 0.0000 0.0000 0.0000
Pu: 0.0000 0.5000 0.5000
Bi: 0.5000 0.0000 0.5000
Bi: 0.5000 0.5000 0.0000
O: 0.1339 0.2031 0.3154
O: 0.1339 0.2969 0.8154
O: 0.3221 0.6697 0.6230
O: 0.3221 0.8303 0.1230
O: 0.6779 0.1697 0.8770
O: 0.6779 0.3303 0.3770
O: 0.8661 0.7031 0.1846
O: 0.8661 0.7969 0.6846

Values from the calculation:
formation energy without anion corrections: -2.15 eV per atom
offset from the most stable computed form: 0.0 kJ per mole of atoms
SG: No. 14

No. 3
Here is NdURh4 after structural relaxation from Alexandria. Energies are from PBE.

Unit cell a=5.3567 b=5.3567 c=5.3567 alpha=60.00 beta=60.00 gamma=60.00
Sites, in units of the cell vectors:
Nd: 0.0000 0.0000 0.0000
U: 0.2500 0.2500 0.2500
Rh: 0.1260 0.6247 0.6247
Rh: 0.6247 0.1260 0.6247
Rh: 0.6247 0.6247 0.1260
Rh: 0.6247 0.6247 0.6247

Values from the calculation:
DFT formation energy: -0.500 eV per atom
SG: No. 216

We obtain magnetization values of 7.00, 6.00, 2.05 μB/cell for the records listed above, in that order.